# PBE-GGA KSmAu2, optimized geometry
# Energy, eV/atom: -3.669
# ΔE_f, eV/atom: -0.58
# Spin magnetization, μB/f.u.: 0.0
# Density of states at the Fermi level, states/eV/atom: 0.55
data_KSmAu2
_cell_length_a 3.773
_cell_length_b 3.773
_cell_length_c 8.081
_cell_angle_alpha 90.00
_cell_angle_beta 90.00
_cell_angle_gamma 90.00
_symmetry_space_group_name_H-M 'P 1'
_symmetry_Int_Tables_number 1
loop_
_symmetry_equiv_pos_as_xyz
'x,y,z'
loop_
_atom_site_label
_atom_site_fract_x
_atom_site_fract_y
_atom_site_fract_z
_atom_site_occupancy
K1 0.000 0.000 0.000 1
Sm1 0.000 0.000 0.500 1
Au1 0.500 0.500 0.311 1
Au2 0.500 0.500 0.689 1